# 1
An optimized crystal structure of MgCdBIr2, computed with PBE-GGA.

Uncorrected energy   -5.5646 eV/atom
Energy relative to the elements   -0.183 eV/atom
M_tot   0.00 μB per atom

Unit cell a=4.146 b=4.146 c=4.379 alpha=90.00 beta=90.00 gamma=90.00
Fractional coordinates of all 5 atoms:
Mg (0.000, 0.000, 0.500)
Ir (0.000, 0.500, 0.000)
Ir (0.500, 0.000, 0.000)
B (0.000, 0.000, 0.000)
Cd (0.500, 0.500, 0.500)


# 2
An optimized crystal structure of CdNiBIr2, computed with PBE-GGA.

Uncorrected energy   -3.3622 eV/atom
Energy relative to the elements   2.857 eV/atom
M_tot   0.28 μB per atom

Unit cell a=4.896 b=4.565 c=4.896 alpha=90.00 beta=90.00 gamma=90.00
Each line ends with the local moment (μB).
Fractional coordinates of all 5 atoms:
Ni (0.000, 0.500, 0.000)  0.70
B (0.500, 0.500, 0.500)  -0.03
Ir (0.000, 0.000, 0.500)  0.43
Ir (0.500, 0.000, 0.000)  0.35
Cd (0.000, 0.000, 0.000)  0.00


# 3
An optimized crystal structure of CdNiBIr2, computed with PBE-GGA.

Uncorrected energy   -6.2469 eV/atom
Energy relative to the elements   -0.028 eV/atom
M_tot   0.12 μB per atom

Unit cell a=4.150 b=4.150 c=4.004 alpha=90.00 beta=90.00 gamma=90.00
Each line ends with the local moment (μB).
Fractional coordinates of all 5 atoms:
Ni (0.000, 0.000, 0.500)  0.33
B (0.000, 0.000, 0.000)  -0.01
Ir (0.000, 0.500, 0.000)  0.15
Ir (0.500, 0.000, 0.000)  0.15
Cd (0.500, 0.500, 0.500)  -0.01